1.
Material: Pu4Ru2Rh
Method: DFT, GGA-PBE
State: optimized geometry

Results
Its volume is 22.63 Å³/atom. The calculated density comes out at 13.430 g/cm³. The calculation puts the total magnetization at 2.787 μB/atom. The calculation puts the formation energy at 0.1395 eV/atom. The space-group type is I4/mmm (139).

Unit cell a=5.0864 b=5.0864 c=7.1008 alpha=110.99 beta=110.99 gamma=90.00
Closest atoms and distances in Å follow each position.
Positions (direct):
Ru 0.3705 0.3705 0.7409  8 Pu 2.94-3.00, 1 Ru 3.17
Ru 0.6295 0.6295 0.2591  8 Pu 2.94-3.00, 1 Ru 3.17
Pu 0.0000 0.5000 0.0000  2 Rh 2.54
Pu 0.5000 0.0000 0.0000  2 Rh 2.54
Pu 0.7500 0.2500 0.5000  4 Ru 2.94, 2 Pu 3.06
Pu 0.2500 0.7500 0.5000  4 Ru 2.94, 2 Pu 3.06
Rh 0.0000 0.0000 0.0000  4 Pu 2.54

2.
Material: Ce2DyThS5
Method: DFT, GGA-PBE
State: optimized geometry

Results
Its volume is 27.80 Å³/atom. The calculated density comes out at 5.543 g/cm³. The calculation puts the total magnetization at 0.452 μB/atom. The space-group type is P4/mmm (123). The value obtained for the raw formation energy is -12.4 eV/f.u.

Unit cell a=4.8890 b=4.8890 c=10.4672 alpha=90.00 beta=90.00 gamma=90.00
Closest atoms and distances in Å follow each position.
Positions (direct):
Ce 0.5000 0.5000 0.3046  9 S 3.19-3.51
Ce 0.5000 0.5000 0.6954  9 S 3.19-3.51
S 0.0000 0.5000 0.5000  2 Dy 2.44
S 0.5000 0.0000 0.5000  2 Dy 2.44
S 0.5000 0.5000 0.0000  2 Ce 3.19, 4 Th 3.46
S 0.0000 0.0000 0.7522  1 Th 2.59, 1 Dy 2.64
S 0.0000 0.0000 0.2478  1 Th 2.59, 1 Dy 2.64
Th 0.0000 0.0000 0.0000  2 S 2.59
Dy 0.0000 0.0000 0.5000  6 S 2.44-2.64

3.
Material: Tl2FeTc
Method: DFT, GGA-PBE
State: optimized geometry

Results
Its volume is 20.57 Å³/atom. The calculated density comes out at 11.353 g/cm³. The calculation puts the total magnetization at 1.186 μB/atom. The calculation puts the formation energy at 1.0029 eV/atom. The space-group type is I-42d (122).

Unit cell a=7.4869 b=7.4869 c=6.0537 alpha=51.80 beta=51.80 gamma=90.00
Closest atoms and distances in Å follow each position.
Positions (direct):
Fe 0.2500 0.7500 0.5000  4 Tl 2.68, 2 Tc 2.94
Fe 0.5000 0.5000 0.0000  4 Tl 2.68, 2 Tc 2.94
Tc 0.7500 0.2500 0.5000  4 Tl 2.81, 2 Fe 2.94
Tc 0.0000 0.0000 0.0000  4 Tl 2.81, 2 Fe 2.94
Tl 0.3750 0.3879 0.7500  2 Fe 2.68, 2 Tc 2.81, 2 Tl 2.94
Tl 0.6121 0.1250 0.2500  2 Fe 2.68, 2 Tc 2.81, 2 Tl 2.94
Tl 0.8750 0.8621 0.7500  2 Fe 2.68, 2 Tc 2.81, 2 Tl 2.94
Tl 0.1379 0.6250 0.2500  2 Fe 2.68, 2 Tc 2.81, 2 Tl 2.94

4.
Material: TcRhSe2N
Method: DFT, GGA-PBE
State: optimized geometry

Results
Its volume is 18.07 Å³/atom. The calculated density comes out at 6.854 g/cm³. The calculation puts the total magnetization at 0.000 μB/atom. The space-group type is P4/mmm (123). The value obtained for the raw formation energy is 3.0 eV/f.u.

Unit cell a=4.9719 b=4.9719 c=3.6542 alpha=90.00 beta=90.00 gamma=90.00
Closest atoms and distances in Å follow each position.
Positions (direct):
N 0.0000 0.0000 0.5000  2 Tc 1.83
Se 0.5000 0.0000 0.0000  2 Tc 2.49
Se 0.0000 0.5000 0.0000  2 Tc 2.49
Rh 0.5000 0.5000 0.5000  8 Se 3.09
Tc 0.0000 0.0000 0.0000  2 N 1.83

5.
Material: ZrIn2Tc
Method: DFT, GGA-PBE
State: optimized geometry

Results
Its volume is 20.05 Å³/atom. The calculated density comes out at 8.674 g/cm³. The calculation puts the total magnetization at 0.000 μB/atom. The calculation puts the formation energy at 0.0105 eV/atom. The space-group type is C2/m (12).

Unit cell a=5.2828 b=5.2828 c=4.8450 alpha=73.78 beta=73.78 gamma=38.38
Closest atoms and distances in Å follow each position.
Positions (direct):
In 0.4861 0.4861 0.5207  3 Tc 2.87-3.15, 4 In 2.90-3.09, 3 Zr 3.02-3.10
In 0.0139 0.0139 0.9793  3 Tc 2.87-3.15, 4 In 2.90-3.09, 3 Zr 3.02-3.10
Tc 0.7500 0.7500 0.7500  6 In 2.87-3.15, 4 Zr 2.98
Zr 0.2500 0.2500 0.2500  4 Tc 2.98, 6 In 3.02-3.10

6.
Material: ThAg3Se4
Method: DFT, GGA-PBE
State: optimized geometry

Results
Its volume is 26.61 Å³/atom. The calculated density comes out at 6.799 g/cm³. The calculation puts the total magnetization at 0.000 μB/atom. The space-group type is Cmmm (65). The value obtained for the raw formation energy is -4.6 eV/f.u.

Unit cell a=3.9268 b=7.4843 c=8.1521 alpha=117.33 beta=90.00 gamma=90.00
Closest atoms and distances in Å follow each position.
Positions (direct):
Ag 0.0000 0.2632 0.5263  4 Se 2.70-2.73
Ag 0.0000 0.7368 0.4737  4 Se 2.70-2.73
Ag 0.0000 0.5000 0.0000  4 Se 2.68
Se 0.0000 0.6636 0.7688  3 Ag 2.68-2.73
Se 0.0000 0.1052 0.7688  3 Ag 2.68-2.73
Se 0.0000 0.8948 0.2312  3 Ag 2.68-2.73
Se 0.0000 0.3364 0.2312  3 Ag 2.68-2.73
Th 0.5000 0.0000 0.0000  8 Se 3.06